This record from the Alexandria database describes a relaxed CsBa2PdPb crystal. The functional is PBE-GGA.

Cell lengths 6.1479, 6.2783, 6.1479 Å; angles 90.00, 90.00, 90.00 degrees
Fractional positions:
1 Pb 0.5000 0.5000 0.5000
2 Cs 0.0000 0.5000 0.0000
3 Ba 0.0000 0.0000 0.5000
4 Ba 0.5000 0.0000 0.0000
5 Pd 0.0000 0.0000 0.0000

Properties
The value obtained for the total energy is -14.25 eV/cell.

=====

This record from the Alexandria database describes a relaxed CsBaRhPb2 crystal. The functional is PBE-GGA.

Cell lengths 6.1824, 6.3702, 6.1824 Å; angles 90.00, 90.00, 90.00 degrees
Fractional positions:
1 Pb 0.0000 0.0000 0.5000
2 Pb 0.5000 0.0000 0.0000
3 Cs 0.0000 0.0000 0.0000
4 Rh 0.5000 0.5000 0.5000
5 Ba 0.0000 0.5000 0.0000

Properties
The value obtained for the polymorph energy (0 for the lowest one) is 1.656 eV/atom.

=====

This record from the Alexandria database describes a relaxed CsBaRhPb2 crystal. The functional is PBE-GGA.

Cell lengths 5.5191, 5.5191, 5.9172 Å; angles 90.00, 90.00, 90.00 degrees
Fractional positions:
1 Pb 0.0000 0.5000 0.0000
2 Pb 0.5000 0.0000 0.0000
3 Cs 0.5000 0.5000 0.5000
4 Rh 0.0000 0.0000 0.0000
5 Ba 0.0000 0.0000 0.5000

Properties
The value obtained for the polymorph energy (0 for the lowest one) is 0.000 eV/atom.

=====

This record from the Alexandria database describes a relaxed CsBa2PbS4 crystal. The functional is PBE-GGA.

Cell lengths 9.1203, 9.1203, 9.0715 Å; angles 119.82, 119.82, 89.96 degrees
Fractional positions:
1 Cs 0.0000 0.5000 0.0000
2 Cs 0.0000 0.5000 0.5000
3 Ba 0.5000 0.0000 0.0000
4 Ba 0.5000 0.0000 0.5000
5 Ba 0.0000 0.0000 0.5000
6 Ba 0.5000 0.5000 0.0000
7 Pb 0.5000 0.5000 0.5000
8 Pb 0.0000 0.0000 0.0000
9 S 0.2639 0.7782 0.0211
10 S 0.7218 0.2361 0.4789
11 S 0.2782 0.7639 0.5211
12 S 0.7361 0.2218 0.9789
13 S 0.7412 0.7588 0.9925
14 S 0.7411 0.7588 0.5075
15 S 0.2589 0.2412 0.4925
16 S 0.2588 0.2412 0.0075

Properties
The value obtained for the total energy is -69.24 eV/cell.

=====

This record from the Alexandria database describes a relaxed CsBaSb2Pb crystal. The functional is PBE-GGA.

Cell lengths 6.3597, 6.6175, 6.3597 Å; angles 90.00, 90.00, 90.00 degrees
Fractional positions:
1 Pb 0.5000 0.5000 0.5000
2 Cs 0.0000 0.5000 0.0000
3 Ba 0.0000 0.0000 0.0000
4 Sb 0.0000 0.0000 0.5000
5 Sb 0.5000 0.0000 0.0000

Properties
The value obtained for the total energy is -12.23 eV/cell.

=====

This record from the Alexandria database describes a relaxed Cs2BaSb2Pb crystal. The functional is PBE-GGA.

Cell lengths 4.9897, 9.9928, 10.7384 Å; angles 90.00, 90.00, 90.00 degrees
Fractional positions:
1 Cs 0.5000 0.0584 0.0888
2 Cs 0.0000 0.3759 0.1908
3 Cs 0.5000 0.5584 0.9112
4 Cs 0.0000 0.8759 0.8092
5 Ba 0.0000 0.9514 0.4411
6 Ba 0.0000 0.4514 0.5589
7 Sb 0.0000 0.2791 0.8372
8 Sb 0.5000 0.2328 0.4327
9 Sb 0.0000 0.7791 0.1628
10 Sb 0.5000 0.7328 0.5673
11 Pb 0.5000 0.1480 0.7017
12 Pb 0.5000 0.6480 0.2983

Properties
The value obtained for the total energy is -38.02 eV/cell.

=====

This record from the Alexandria database describes a relaxed Cs2BaPb2Se4 crystal. The functional is PBE-GGA.

Cell lengths 4.4877, 9.9729, 9.2307 Å; angles 116.56, 90.00, 103.00 degrees
Fractional positions:
1 Cs 0.8803 0.7606 0.4539
2 Cs 0.1197 0.2394 0.5461
3 Ba 0.0000 0.0000 0.0000
4 Pb 0.3132 0.6263 0.9673
5 Pb 0.6868 0.3737 0.0327
6 Se 0.8117 0.6233 0.7659
7 Se 0.1883 0.3767 0.2341
8 Se 0.4621 0.9241 0.2184
9 Se 0.5379 0.0759 0.7816

Properties
The value obtained for the total energy is -34.76 eV/cell.

=====

This record from the Alexandria database describes a relaxed CsBaTcPb2 crystal. The functional is PBE-GGA.

Cell lengths 5.4955, 5.7712, 5.4955 Å; angles 90.00, 90.00, 90.00 degrees
Fractional positions:
1 Pb 0.0000 0.0000 0.5000
2 Pb 0.5000 0.0000 0.0000
3 Cs 0.0000 0.5000 0.0000
4 Ba 0.5000 0.5000 0.5000
5 Tc 0.0000 0.0000 0.0000

Properties
The value obtained for the total energy is -18.66 eV/cell.

=====

This record from the Alexandria database describes a relaxed CsBaZnPb2 crystal. The functional is PBE-GGA.

Cell lengths 6.3740, 6.0685, 6.3740 Å; angles 90.00, 90.00, 90.00 degrees
Fractional positions:
1 Pb 0.0000 0.0000 0.5000
2 Pb 0.5000 0.0000 0.0000
3 Cs 0.0000 0.0000 0.0000
4 Zn 0.0000 0.5000 0.0000
5 Ba 0.5000 0.5000 0.5000

Properties
The value obtained for the total energy is -8.44 eV/cell.

=====

This record from the Alexandria database describes a relaxed CsBa3Pd crystal. The functional is PBE-GGA.

Cell lengths 6.3692, 6.3692, 6.3692 Å; angles 90.00, 90.00, 90.00 degrees
Fractional positions:
1 Cs 0.0000 0.0000 0.0000
2 Ba 0.0000 0.5000 0.0000
3 Ba 0.0000 0.0000 0.5000
4 Ba 0.5000 0.0000 0.0000
5 Pd 0.5000 0.5000 0.5000

Properties
The value obtained for the polymorph energy (0 for the lowest one) is 1.190 eV/atom.

=====

This record from the Alexandria database describes a relaxed CsBa3Pd crystal. The functional is PBE-GGA.

Cell lengths 8.2018, 12.3966, 12.3966 Å; angles 101.74, 90.35, 90.35 degrees
Fractional positions:
1 Cs 0.9022 0.4371 0.3017
2 Cs 0.5978 0.6983 0.5629
3 Cs 0.0978 0.5629 0.6983
4 Cs 0.4022 0.3017 0.4371
5 Ba 0.5799 0.1705 0.0461
6 Ba 0.9201 0.9539 0.8295
7 Ba 0.4201 0.8295 0.9539
8 Ba 0.0799 0.0461 0.1705
9 Ba 0.9171 0.7097 0.0679
10 Ba 0.5829 0.9321 0.2903
11 Ba 0.0829 0.2903 0.9321
12 Ba 0.4171 0.0679 0.7097
13 Ba 0.3982 0.5825 0.1709
14 Ba 0.1018 0.8291 0.4175
15 Ba 0.6018 0.4175 0.8291
16 Ba 0.8982 0.1709 0.5825
17 Pd 0.2500 0.0613 0.9387
18 Pd 0.7500 0.9387 0.0613
19 Pd 0.2500 0.8145 0.1855
20 Pd 0.7500 0.1855 0.8145

Properties
The value obtained for the polymorph energy (0 for the lowest one) is 0.000 eV/atom.

=====

This record from the Alexandria database describes a relaxed CsBaPd4 crystal. The functional is PBE-GGA.

Cell lengths 5.7772, 5.7772, 5.7772 Å; angles 60.00, 60.00, 60.00 degrees
Fractional positions:
1 Cs 0.2500 0.2500 0.2500
2 Ba 0.0000 0.0000 0.0000
3 Pd 0.6254 0.6253 0.1240
4 Pd 0.6254 0.1240 0.6253
5 Pd 0.6254 0.6253 0.6253
6 Pd 0.1240 0.6253 0.6253

Properties
The value obtained for the total energy is -25.02 eV/cell.

=====

Magnetic moment per entry: 0.1872 0.2677 0.0000 0.1266 0.1756 0.0000 0.0000 0.0001 0.0000 0.0000 0.0003 0.0000 μB/atom
Volume per entry: 237.3 243.5 180.2 536.6 267.6 535.4 357.6 174.3 246.5 258.4 1234.0 136.3 Å³ per cell
Theoretical density per entry: 5.046 5.371 7.256 4.599 4.473 5.296 5.262 7.456 5.052 4.186 3.506 8.475 g/cm³